Density functional theory data (GGA+U) for an optimized crystal structure of NaMn2FeF8.

Cell lengths 4.9334, 4.9174, 6.6868 Å; angles 90.00, 90.01, 89.89 degrees
Each line ends with the local moment (μB).
Positions (direct):
Na1 0.0000 0.0000 0.5000  0.00
F1 0.7101 0.7109 0.0000  0.09
F2 0.8079 0.1932 0.7886  0.10
Mn1 0.5000 0.4999 0.7472  4.71
F3 0.6856 0.6864 0.5001  0.05
F4 0.2899 0.2891 0.0000  0.09
F5 0.1921 0.8068 0.2114  0.10
F6 0.8077 0.1932 0.2113  0.10
Fe1 0.0000 0.0000 0.0000  4.49
F7 0.1923 0.8068 0.7887  0.10
F8 0.3144 0.3136 0.4999  0.05
Mn2 0.5000 0.5001 0.2528  4.71

Computed properties:
Crystal system: monoclinic
Spin magnetization (μB/cell): 15.00
E_tot (eV per atom): -5.710